No. 1
A plane-wave DFT calculation with PBE was carried out for an optimized crystal structure of Nb2GeBr.

```
8
Lattice="7.410 0.000 0.000 0.000 7.410 0.000 3.705 3.705 2.925" Properties=species:S:1:pos:R:3 pbc="T T T"
Nb 9.263 9.081 2.194
Nb 2.034 5.558 0.731
Nb 5.558 5.739 2.194
Nb 5.376 1.853 0.731
Br 7.410 3.705 1.462
Br 0.000 0.000 0.000
Ge 3.705 7.410 1.462
Ge 3.705 3.705 0.000
```

SG: I-42d
Uncorrected energy in eV per atom: -5.992



No. 2
A plane-wave DFT calculation with PBE was carried out for an optimized crystal structure of NbGe2Br.

```
8
Lattice="6.223 0.000 0.000 0.000 6.223 0.000 3.112 3.112 6.294" Properties=species:S:1:pos:R:3 pbc="T T T"
Ge 1.221 4.668 1.574
Ge 4.668 4.333 4.721
Ge 5.002 1.556 1.574
Ge 7.779 8.114 4.721
Nb 0.000 0.000 0.000
Nb 6.223 3.112 3.147
Br 3.112 3.112 0.000
Br 3.112 6.223 3.147
```

SG: I-42d
Uncorrected energy in eV per atom: -4.580



No. 3
A plane-wave DFT calculation with PBE was carried out for an optimized crystal structure of NbGeBr3.

```
5
Lattice="5.324 0.000 0.000 0.000 5.324 0.000 0.000 0.000 5.324" Properties=species:S:1:pos:R:3 pbc="T T T"
Br 0.000 0.000 2.662
Br 0.000 2.662 0.000
Br 2.662 0.000 0.000
Ge 2.662 2.662 2.662
Nb 0.000 0.000 0.000
```

SG: Pm-3m
Uncorrected energy in eV per atom: -3.807



Which of these has the lowest uncorrected energy? Nb2GeBr